1.
The following is a DFT calculation (PBE) of a geometry-optimized LiAcLaZn structure.

The relative energy among the computed polymorphs comes out at 0.087 eV/f.u. The calculation puts the calculated volume at 29.297 Å³/atom. The formation energy from the elements comes out at -88 meV/atom. For the density of states at the Fermi level, the calculation gives 5.81 states/eV/cell. Its electronic total energy is -3.1439 eV/atom.

Lattice parameters (Å, degrees): 5.493 5.493 5.493 60.00 60.00 60.00
Fractional coordinates of all 4 atoms:
Ac  0.750  0.750  0.750
La  0.250  0.250  0.250
Li  0.500  0.500  0.500
Zn  0.000  0.000  0.000

2.
The following is a DFT calculation (PBE) of a geometry-optimized CsK2Na2 structure.

The relative energy among the computed polymorphs comes out at 0.000 eV/f.u. The calculation puts the calculated volume at 63.751 Å³/atom. The formation energy from the elements comes out at 24 meV/atom. For the density of states at the Fermi level, the calculation gives 5.50 states/eV/cell. Its electronic total energy is -1.1135 eV/atom.

Lattice parameters (Å, degrees): 11.476 11.476 4.841 90.00 90.00 90.00
Fractional coordinates of all 10 atoms:
K  0.166  0.666  0.500
K  0.834  0.334  0.500
K  0.666  0.834  0.500
Cs  0.000  0.000  0.000
Na  0.122  0.378  0.000
Na  0.878  0.622  0.000
Cs  0.500  0.500  0.000
Na  0.378  0.878  0.000
K  0.334  0.166  0.500
Na  0.622  0.122  0.000

3.
The following is a DFT calculation (PBE) of a geometry-optimized TiHIr2Rh structure.

The relative energy among the computed polymorphs comes out at 0.132 eV/f.u. The calculation puts the calculated volume at 12.058 Å³/atom. For the density of states at the Fermi level, the calculation gives 2.14 states/eV/cell. Its electronic total energy is -7.7482 eV/atom.

Lattice parameters (Å, degrees): 3.888 3.888 3.988 90.00 90.00 90.00
Fractional coordinates of all 5 atoms:
Ti  0.000  0.000  0.500
Rh  0.500  0.500  0.500
Ir  0.000  0.500  0.000
Ir  0.500  0.000  0.000
H  0.000  0.000  0.000

4.
The following is a DFT calculation (PBE) of a geometry-optimized Sr8In2N structure.

The calculation puts the calculated volume at 37.868 Å³/atom. For the uncorrected formation energy, the calculation gives -1.56 eV per formula unit. For the density of states at the Fermi level, the calculation gives 9.27 states/eV/cell. Its electronic total energy is -2.6196 eV/atom.

Lattice parameters (Å, degrees): 6.338 7.281 10.228 110.70 108.05 90.00
Fractional coordinates of all 11 atoms:
Sr  0.416  0.639  0.832
N  0.500  0.000  0.000
Sr  0.624  0.938  0.248
Sr  0.987  0.236  0.974
In  0.823  0.296  0.647
Sr  0.218  0.275  0.437
Sr  0.376  0.062  0.752
In  0.177  0.704  0.353
Sr  0.013  0.764  0.026
Sr  0.782  0.725  0.563
Sr  0.584  0.361  0.168

5.
The following is a DFT calculation (PBE) of a geometry-optimized CaNi2Te structure.

The calculation puts the calculated volume at 19.031 Å³/atom. For the uncorrected formation energy, the calculation gives -0.41 eV per formula unit. For the density of states at the Fermi level, the calculation gives 1.26 states/eV/cell. Its electronic total energy is -4.2787 eV/atom.

Lattice parameters (Å, degrees): 5.469 5.469 5.469 142.85 128.67 65.05
Fractional coordinates of all 4 atoms:
Ni  0.751  0.251  0.500
Ni  0.946  0.946  0.000
Te  0.544  0.544  0.000
Ca  0.260  0.760  0.500

6.
The following is a DFT calculation (PBE) of a geometry-optimized TiBeTe2 structure.

The calculation puts the calculated volume at 25.349 Å³/atom. For the uncorrected formation energy, the calculation gives -0.14 eV per formula unit. For the density of states at the Fermi level, the calculation gives 2.01 states/eV/cell. Its electronic total energy is -4.5116 eV/atom.

Lattice parameters (Å, degrees): 8.321 8.321 8.321 26.54 26.54 26.54
Fractional coordinates of all 4 atoms:
Te  0.904  0.904  0.904
Ti  0.500  0.500  0.500
Be  0.000  0.000  0.000
Te  0.096  0.096  0.096

7.
The following is a DFT calculation (PBE) of a geometry-optimized VCo3Sb structure.

The relative energy among the computed polymorphs comes out at 2.366 eV/f.u. The calculation puts the calculated volume at 18.889 Å³/atom. For the uncorrected formation energy, the calculation gives 6.96 eV per formula unit. For the density of states at the Fermi level, the calculation gives 9.36 states/eV/cell. Its electronic total energy is -5.5202 eV/atom.

Lattice parameters (Å, degrees): 4.554 4.554 4.554 90.00 90.00 90.00
Last column: magnetic moment on the atom in μB.
Fractional coordinates of all 5 atoms:
Co  0.500  0.000  0.000  0.99
V  0.500  0.500  0.500  2.34
Sb  0.000  0.000  0.000  -0.06
Co  0.000  0.500  0.000  0.99
Co  0.000  0.000  0.500  0.99

8.
The following is a DFT calculation (PBE) of a geometry-optimized Tb3Mn2Co7 structure.

The calculation puts the calculated volume at 14.753 Å³/atom. The formation energy from the elements comes out at -141 meV/atom. For the density of states at the Fermi level, the calculation gives 13.62 states/eV/cell. Its electronic total energy is -6.9722 eV/atom.

Lattice parameters (Å, degrees): 5.107 5.107 8.374 72.25 72.25 60.00
Last column: magnetic moment on the atom in μB.
Fractional coordinates of all 12 atoms:
Tb  0.000  0.000  0.000  -0.16
Co  0.418  0.418  0.245  0.84
Tb  0.140  0.140  0.579  -0.23
Tb  0.860  0.860  0.421  -0.23
Co  0.919  0.418  0.245  0.84
Co  0.500  0.500  0.500  1.36
Co  0.418  0.919  0.245  0.84
Co  0.582  0.582  0.755  0.84
Co  0.081  0.582  0.755  0.84
Co  0.582  0.081  0.755  0.84
Mn  0.666  0.666  0.001  2.63
Mn  0.334  0.334  0.999  2.63

9.
The following is a DFT calculation (PBE) of a geometry-optimized Th2AsH2 structure.

The calculation puts the calculated volume at 18.621 Å³/atom. For the density of states at the Fermi level, the calculation gives 4.04 states/eV/cell. Its electronic total energy is -5.9796 eV/atom.

Lattice parameters (Å, degrees): 6.658 6.658 6.041 117.02 117.02 100.12
Fractional coordinates of all 10 atoms:
H  0.755  0.006  0.511
Th  0.842  0.658  0.250
H  0.245  0.994  0.489
Th  0.407  0.093  0.250
Th  0.158  0.342  0.750
H  0.494  0.745  0.989
As  0.125  0.375  0.250
As  0.875  0.625  0.750
Th  0.593  0.907  0.750
H  0.506  0.255  0.011

10.
The following is a DFT calculation (PBE) of a geometry-optimized CeSm6Ho2Er structure.

The calculation puts the calculated volume at 33.606 Å³/atom. The formation energy from the elements comes out at 248 meV/atom. For the density of states at the Fermi level, the calculation gives 22.55 states/eV/cell. Its electronic total energy is -4.5491 eV/atom.

Lattice parameters (Å, degrees): 8.818 6.937 6.655 121.41 102.49 90.00
Last column: magnetic moment on the atom in μB.
Fractional coordinates of all 10 atoms:
Er  0.500  0.000  0.000  -0.01
Ho  0.168  0.090  0.180  0.04
Sm  0.798  0.936  0.344  0.02
Ce  0.000  0.500  0.000  0.79
Sm  0.583  0.375  0.749  0.03
Ho  0.832  0.910  0.820  0.04
Sm  0.202  0.592  0.656  0.02
Sm  0.202  0.064  0.656  0.02
Sm  0.798  0.408  0.344  0.02
Sm  0.417  0.625  0.251  0.03

11.
The following is a DFT calculation (PBE) of a geometry-optimized Tc2HSe structure.

The relative energy among the computed polymorphs comes out at 0.000 eV/f.u. The calculation puts the calculated volume at 13.962 Å³/atom. For the density of states at the Fermi level, the calculation gives 6.27 states/eV/cell. Its electronic total energy is -6.5887 eV/atom.

Lattice parameters (Å, degrees): 4.666 4.666 6.099 67.51 67.51 90.00
Fractional coordinates of all 8 atoms:
Tc  0.261  0.625  0.250
Se  0.000  0.000  0.000
Tc  0.489  0.125  0.250
H  0.500  0.500  0.000
H  0.250  0.750  0.500
Se  0.750  0.250  0.500
Tc  0.875  0.739  0.750
Tc  0.375  0.511  0.750

12.
The following is a DFT calculation (PBE) of a geometry-optimized MnTeI2 structure.

The relative energy among the computed polymorphs comes out at 0.000 eV/f.u. The calculation puts the calculated volume at 37.023 Å³/atom. For the uncorrected formation energy, the calculation gives 0.17 eV per formula unit. For the density of states at the Fermi level, the calculation gives 3.63 states/eV/cell. Its electronic total energy is -3.8095 eV/atom.

Lattice parameters (Å, degrees): 3.848 3.863 11.803 100.33 88.85 120.58
Last column: magnetic moment on the atom in μB.
Fractional coordinates of all 4 atoms:
Te  0.085  0.924  0.052  -0.20
I  0.297  0.364  0.705  0.10
I  0.871  0.485  0.399  0.10
Mn  0.584  0.925  0.552  4.25

13.
The following is a DFT calculation (PBE) of a geometry-optimized SrVH structure.

The relative energy among the computed polymorphs comes out at 0.252 eV/f.u. The calculation puts the calculated volume at 19.319 Å³/atom. For the density of states at the Fermi level, the calculation gives 1.54 states/eV/cell. Its electronic total energy is -4.5139 eV/atom.

Lattice parameters (Å, degrees): 3.427 5.844 6.519 63.61 96.88 89.99
Fractional coordinates of all 6 atoms:
V  0.619  0.593  0.020
H  0.717  0.688  0.261
V  0.856  0.731  0.748
Sr  0.165  0.037  0.131
H  0.717  0.258  0.260
Sr  0.296  0.345  0.518

14.
The following is a DFT calculation (PBE) of a geometry-optimized PmSm4In2 structure.

The relative energy among the computed polymorphs comes out at 0.000 eV/f.u. The calculation puts the calculated volume at 30.937 Å³/atom. The formation energy from the elements comes out at -54 meV/atom. For the density of states at the Fermi level, the calculation gives 17.36 states/eV/cell. Its electronic total energy is -4.2113 eV/atom.

Lattice parameters (Å, degrees): 8.470 6.591 8.041 105.23 90.00 90.00
Fractional coordinates of all 14 atoms:
In  0.105  0.565  0.166
Sm  0.257  0.172  0.791
In  0.895  0.435  0.834
In  0.605  0.935  0.834
Sm  0.243  0.672  0.791
Pm  0.000  0.000  0.000
Pm  0.500  0.500  0.000
Sm  0.092  0.238  0.431
Sm  0.592  0.262  0.569
Sm  0.908  0.762  0.569
Sm  0.408  0.738  0.431
In  0.395  0.065  0.166
Sm  0.743  0.828  0.209
Sm  0.757  0.328  0.209

15.
The following is a DFT calculation (PBE) of a geometry-optimized K17Na11Li structure.

The calculation puts the calculated volume at 55.731 Å³/atom. The formation energy from the elements comes out at 27 meV/atom. For the density of states at the Fermi level, the calculation gives 20.78 states/eV/cell. Its electronic total energy is -1.1822 eV/atom.

Lattice parameters (Å, degrees): 12.816 12.816 12.798 109.49 109.49 109.53
Fractional coordinates of all 29 atoms:
Na  0.181  0.820  0.181
Na  0.640  0.001  0.820
Na  0.186  0.361  0.354
K  0.999  0.593  0.313
K  0.680  0.680  0.278
K  0.711  0.404  0.402
Na  0.188  0.188  0.835
Li  0.354  0.354  0.178
K  0.593  0.999  0.313
Na  0.001  0.822  0.640
K  0.281  0.688  0.688
K  0.998  0.998  0.346
Na  0.820  0.181  0.181
Na  0.361  0.186  0.354
K  0.404  0.711  0.402
K  0.314  0.000  0.593
K  0.003  0.003  0.002
Na  0.820  0.640  0.000
K  0.004  0.346  0.002
K  0.000  0.314  0.593
K  0.591  0.314  0.001
Na  0.001  0.640  0.820
K  0.346  0.004  0.002
K  0.405  0.405  0.717
Na  0.640  0.820  0.000
K  0.655  0.655  0.655
K  0.314  0.591  0.001
Na  0.822  0.001  0.640
K  0.688  0.281  0.688

16.
The following is a DFT calculation (PBE) of a geometry-optimized ThSn2Te4 structure.

The relative energy among the computed polymorphs comes out at 0.000 eV/f.u. The calculation puts the calculated volume at 34.911 Å³/atom. For the uncorrected formation energy, the calculation gives -4.27 eV per formula unit. For the density of states at the Fermi level, the calculation gives 0.30 states/eV/cell. Its electronic total energy is -4.6096 eV/atom.

Lattice parameters (Å, degrees): 4.341 7.849 14.926 90.00 90.00 106.06
Fractional coordinates of all 14 atoms:
Sn  0.870  0.740  0.564
Sn  0.130  0.260  0.064
Sn  0.130  0.260  0.436
Te  0.500  0.000  0.000
Te  0.216  0.433  0.625
Te  0.784  0.567  0.375
Th  0.618  0.236  0.750
Te  0.784  0.567  0.125
Te  0.970  0.940  0.750
Te  0.500  0.000  0.500
Th  0.382  0.764  0.250
Te  0.030  0.060  0.250
Sn  0.870  0.740  0.936
Te  0.216  0.433  0.875

17.
The following is a DFT calculation (PBE) of a geometry-optimized FeSn2 structure.

The calculation puts the calculated volume at 19.078 Å³/atom. The formation energy from the elements comes out at 14 meV/atom. For the density of states at the Fermi level, the calculation gives 3.65 states/eV/cell. Its electronic total energy is -5.4750 eV/atom.

Lattice parameters (Å, degrees): 5.317 5.348 5.348 75.69 60.19 60.19
Last column: magnetic moment on the atom in μB.
Fractional coordinates of all 6 atoms:
Fe  0.750  0.000  0.000  1.79
Sn  0.838  0.500  0.824  -0.08
Sn  0.162  0.500  0.176  -0.08
Sn  0.662  0.176  0.500  -0.08
Fe  0.250  0.000  0.000  1.79
Sn  0.338  0.824  0.500  -0.08

18.
The following is a DFT calculation (PBE) of a geometry-optimized Zr2Al4Cu structure.

The relative energy among the computed polymorphs comes out at 3.389 eV/f.u. The calculation puts the calculated volume at 18.508 Å³/atom. The formation energy from the elements comes out at 31 meV/atom. For the density of states at the Fermi level, the calculation gives 3.45 states/eV/cell. Its electronic total energy is -5.1350 eV/atom.

Lattice parameters (Å, degrees): 3.003 3.003 16.586 90.00 90.00 120.00
Fractional coordinates of all 7 atoms:
Cu  0.000  0.000  0.500
Al  0.333  0.667  0.934
Zr  0.667  0.333  0.789
Al  0.333  0.667  0.384
Al  0.667  0.333  0.616
Zr  0.333  0.667  0.211
Al  0.667  0.333  0.066

19.
The following is a DFT calculation (PBE) of a geometry-optimized Sm2WN4 structure.

The relative energy among the computed polymorphs comes out at 0.700 eV/f.u. The calculation puts the calculated volume at 16.263 Å³/atom. For the uncorrected formation energy, the calculation gives -7.48 eV per formula unit. Its electronic total energy is -9.0245 eV/atom.

Lattice parameters (Å, degrees): 5.898 5.992 6.793 90.00 108.49 90.00
Fractional coordinates of all 14 atoms:
W  0.229  0.750  0.192
N  0.980  0.250  0.651
N  0.042  0.750  0.915
N  0.549  0.490  0.748
W  0.771  0.250  0.808
N  0.451  0.510  0.252
Sm  0.324  0.250  0.974
N  0.451  0.990  0.252
Sm  0.237  0.250  0.439
Sm  0.763  0.750  0.561
Sm  0.676  0.750  0.026
N  0.549  0.010  0.748
N  0.958  0.250  0.085
N  0.020  0.750  0.349

20.
The following is a DFT calculation (PBE) of a geometry-optimized CaCe2AgHg4 structure.

The calculation puts the calculated volume at 25.774 Å³/atom. The formation energy from the elements comes out at -333 meV/atom. For the density of states at the Fermi level, the calculation gives 17.22 states/eV/cell. Its electronic total energy is -2.5743 eV/atom.

Lattice parameters (Å, degrees): 5.245 5.245 9.168 73.38 73.38 60.00
Last column: magnetic moment on the atom in μB.
Fractional coordinates of all 8 atoms:
Hg  0.124  0.124  0.628  0.01
Hg  0.876  0.876  0.372  0.01
Ag  0.500  0.500  0.500  0.00
Ce  0.755  0.755  0.735  0.81
Ce  0.245  0.245  0.265  0.81
Ca  0.000  0.000  0.000  0.01
Hg  0.374  0.374  0.878  0.01
Hg  0.626  0.626  0.122  0.01